This record from Alexandria via LeMat-Bulk describes a geometry-optimized HoZrFeIr structure. The functional is PBE.

Cell and atoms, written as POSCAR:
```
HoZrFeIr
1.0
4.684 0.000 0.000
2.342 4.056 0.000
2.342 1.352 3.824
Fe Ho Ir Zr
1 1 1 1
direct
0.000 0.000 0.000 Fe
0.750 0.750 0.750 Ho
0.500 0.500 0.500 Ir
0.250 0.250 0.250 Zr
```

Uncorrected energy (eV per atom): -8.041
Magnetization (μB per formula unit): 0.63
Energy relative to the elements (meV/atom): -429
Volume (Å³ per cell): 72.7
Space-group type: F-43m, No. 216